VASP calculation (PBE-GGA) on a geometry-optimized Cr2CdSiRh structure.

Values from the calculation:
The value obtained for the electronic total energy is -28.0 eV for the cell shown. The raw formation energy comes out at 95.0 kJ/mol of atoms.

Cell: 4.441 4.441 4.768 Å, 90.00 90.00 90.00°
Atoms (fractional coordinates):
Cr1 0.000 0.500 0.000
Cr2 0.500 0.000 0.000
Cd1 0.000 0.000 0.500
Si1 0.000 0.000 0.000
Rh1 0.500 0.500 0.500

=====

VASP calculation (PBE-GGA) on a geometry-optimized BaP2PbS8 structure.

Values from the calculation:
The value obtained for the electronic total energy is -55.5 eV for the cell shown. The raw formation energy comes out at -48.8 kJ/mol of atoms.

Cell: 6.120 6.120 9.298 Å, 90.00 90.00 120.00°
Atoms (fractional coordinates):
Ba1 0.000 0.000 0.000
P1 0.333 0.667 0.754
P2 0.667 0.333 0.246
Pb1 0.000 0.000 0.500
S1 0.004 0.347 0.695
S2 0.333 0.667 0.971
S3 0.344 0.996 0.695
S4 0.347 0.344 0.305
S5 0.653 0.656 0.695
S6 0.656 0.004 0.305
S7 0.667 0.333 0.029
S8 0.996 0.653 0.305

=====

VASP calculation (PBE-GGA) on a geometry-optimized Sc2Be2HgPd5 structure.

Values from the calculation:
The value obtained for the electronic total energy is -106.0 eV for the cell shown.

Cell: 9.473 9.473 3.459 Å, 90.00 90.00 90.00°
Atoms (fractional coordinates):
Sc1 0.176 0.324 0.000
Sc2 0.324 0.824 0.000
Sc3 0.676 0.176 0.000
Sc4 0.824 0.676 0.000
Be1 0.120 0.620 0.000
Be2 0.380 0.120 0.000
Be3 0.620 0.880 0.000
Be4 0.880 0.380 0.000
Hg1 0.000 0.000 0.000
Hg2 0.500 0.500 0.000
Pd1 0.000 0.500 0.500
Pd2 0.073 0.782 0.500
Pd3 0.218 0.073 0.500
Pd4 0.282 0.573 0.500
Pd5 0.427 0.282 0.500
Pd6 0.500 0.000 0.500
Pd7 0.573 0.718 0.500
Pd8 0.718 0.427 0.500
Pd9 0.782 0.927 0.500
Pd10 0.927 0.218 0.500

=====

VASP calculation (PBE-GGA) on a geometry-optimized AlHAu structure.

Values from the calculation:
Its relative energy among the computed polymorphs is 0 meV per atom. The value obtained for the electronic total energy is -21.2 eV for the cell shown.

Cell: 3.590 3.590 9.767 Å, 100.26 100.26 90.00°
Atoms (fractional coordinates):
Al1 0.195 0.195 0.387
Al2 0.805 0.805 0.613
H1 0.012 0.012 0.040
H2 0.988 0.988 0.960
Au1 0.331 0.331 0.666
Au2 0.669 0.669 0.334

=====

VASP calculation (PBE-GGA) on a geometry-optimized HfPH3 structure.

Values from the calculation:
Its relative energy among the computed polymorphs is 0 meV per atom. The value obtained for the electronic total energy is -24.3 eV for the cell shown.

Cell: 3.695 3.695 3.695 Å, 90.00 90.00 90.00°
Atoms (fractional coordinates):
Hf1 0.000 0.000 0.000
P1 0.500 0.500 0.500
H1 0.000 0.000 0.500
H2 0.000 0.500 0.000
H3 0.500 0.000 0.000

=====

VASP calculation (PBE-GGA) on a geometry-optimized Rb4La3GeSe8 structure.

Values from the calculation:
The value obtained for the electronic total energy is -74.4 eV for the cell shown. The raw formation energy comes out at -140.5 kJ/mol of atoms.

Cell: 9.472 9.472 9.472 Å, 55.23 55.23 55.23°
Atoms (fractional coordinates):
Rb1 0.000 0.000 0.000
Rb2 0.000 0.500 0.500
Rb3 0.500 0.000 0.500
Rb4 0.500 0.500 0.000
La1 0.000 0.000 0.500
La2 0.000 0.500 0.000
La3 0.500 0.000 0.000
Ge1 0.500 0.500 0.500
Se1 0.235 0.235 0.235
Se2 0.251 0.721 0.721
Se3 0.279 0.279 0.749
Se4 0.279 0.749 0.279
Se5 0.721 0.251 0.721
Se6 0.721 0.721 0.251
Se7 0.749 0.279 0.279
Se8 0.765 0.765 0.765

=====

VASP calculation (PBE-GGA) on a geometry-optimized TcSe2Cl structure.

Values from the calculation:
Its relative energy among the computed polymorphs is 83 meV per atom. The value obtained for the electronic total energy is -19.7 eV for the cell shown. The raw formation energy comes out at -13.2 kJ/mol of atoms.

Cell: 3.890 3.890 7.844 Å, 102.06 102.06 50.57°
Atoms (fractional coordinates):
Tc1 0.000 0.000 0.000
Se1 0.351 0.351 0.174
Se2 0.649 0.649 0.826
Cl1 0.500 0.500 0.500

=====

VASP calculation (PBE-GGA) on a geometry-optimized SnPSO2 structure.

Values from the calculation:
The value obtained for the electronic total energy is -23.5 eV for the cell shown. The raw formation energy comes out at -0.4 kJ/mol of atoms.

Cell: 3.809 3.809 4.707 Å, 90.00 90.00 90.00°
Atoms (fractional coordinates):
Sn1 0.000 0.000 0.000
P1 0.500 0.500 0.000
S1 0.500 0.500 0.500
O1 0.000 0.500 0.500
O2 0.500 0.000 0.500

=====

VASP calculation (PBE-GGA) on a geometry-optimized Tb2PaNbN4 structure.

Values from the calculation:
The value obtained for the electronic total energy is -74.0 eV for the cell shown. The raw formation energy comes out at -143.5 kJ/mol of atoms.

Cell: 5.833 3.403 5.924 Å, 90.00 109.06 90.00°
Atoms (fractional coordinates):
Tb1 0.000 0.000 0.000
Tb2 0.500 0.500 0.000
Pa1 0.000 0.500 0.500
Nb1 0.500 0.000 0.500
N1 0.250 0.000 0.735
N2 0.260 0.500 0.271
N3 0.740 0.500 0.729
N4 0.750 0.000 0.265

=====

VASP calculation (PBE-GGA) on a geometry-optimized Li4Tl2Pb structure.

Values from the calculation:
Its relative energy among the computed polymorphs is 121 meV per atom. The value obtained for the electronic total energy is -16.2 eV for the cell shown.

Cell: 8.092 8.092 8.092 Å, 142.93 142.93 53.43°
Atoms (fractional coordinates):
Li1 0.000 0.500 0.500
Li2 0.191 0.191 0.000
Li3 0.500 0.000 0.500
Li4 0.809 0.809 0.000
Tl1 0.386 0.386 0.000
Tl2 0.614 0.614 0.000
Pb1 0.000 0.000 0.000

=====

VASP calculation (PBE-GGA) on a geometry-optimized AlHgS2O8 structure.

Values from the calculation:
The value obtained for the electronic total energy is -69.8 eV for the cell shown. The raw formation energy comes out at -143.5 kJ/mol of atoms.

Cell: 4.818 4.818 8.053 Å, 91.03 91.03 63.44°
Atoms (fractional coordinates):
Al1 0.000 0.000 0.000
Hg1 0.000 0.000 0.500
S1 0.354 0.354 0.193
S2 0.646 0.646 0.807
O1 0.219 0.697 0.165
O2 0.220 0.220 0.068
O3 0.300 0.300 0.365
O4 0.303 0.781 0.835
O5 0.697 0.219 0.165
O6 0.700 0.700 0.635
O7 0.780 0.780 0.932
O8 0.781 0.303 0.835

=====

VASP calculation (PBE-GGA) on a geometry-optimized Dy3Sn2C structure.

Values from the calculation:
The value obtained for the electronic total energy is -67.5 eV for the cell shown.

Cell: 6.843 6.843 6.653 Å, 90.00 90.00 79.48°
Atoms (fractional coordinates):
Dy1 0.160 0.840 0.750
Dy2 0.347 0.347 0.000
Dy3 0.347 0.347 0.500
Dy4 0.653 0.653 0.000
Dy5 0.653 0.653 0.500
Dy6 0.840 0.160 0.250
Sn1 0.042 0.684 0.250
Sn2 0.316 0.958 0.250
Sn3 0.684 0.042 0.750
Sn4 0.958 0.316 0.750
C1 0.420 0.580 0.750
C2 0.580 0.420 0.250

=====

VASP calculation (PBE-GGA) on a geometry-optimized AlOs2Pt structure.

Values from the calculation:
The value obtained for the electronic total energy is -32.3 eV for the cell shown.

Cell: 4.732 4.732 4.732 Å, 131.55 131.55 70.93°
Atoms (fractional coordinates):
Al1 0.000 0.000 0.000
Os1 0.250 0.750 0.500
Os2 0.750 0.250 0.500
Pt1 0.500 0.500 0.000

=====

VASP calculation (PBE-GGA) on a geometry-optimized LiTbCe2S5 structure.

Values from the calculation:
The value obtained for the electronic total energy is -112.0 eV for the cell shown. The raw formation energy comes out at -181.6 kJ/mol of atoms.

Cell: 8.468 8.468 11.933 Å, 90.00 90.00 152.87°
Atoms (fractional coordinates):
Li1 0.014 0.986 0.500
Li2 0.986 0.014 0.000
Tb1 0.302 0.698 0.022
Tb2 0.698 0.302 0.522
Ce1 0.375 0.625 0.318
Ce2 0.391 0.609 0.704
Ce3 0.609 0.391 0.204
Ce4 0.625 0.375 0.818
S1 0.000 0.000 0.302
S2 0.000 0.000 0.802
S3 0.137 0.863 0.019
S4 0.191 0.809 0.364
S5 0.211 0.789 0.682
S6 0.455 0.545 0.091
S7 0.545 0.455 0.591
S8 0.789 0.211 0.182
S9 0.809 0.191 0.864
S10 0.863 0.137 0.519

=====

VASP calculation (PBE-GGA) on a geometry-optimized CsNaTiF6 structure.

Values from the calculation:
The value obtained for the electronic total energy is -99.3 eV for the cell shown. The raw formation energy comes out at -303.9 kJ/mol of atoms.

Cell: 7.633 7.633 7.633 Å, 119.40 117.64 92.59°
Atoms (fractional coordinates):
Cs1 0.379 0.129 0.250
Cs2 0.621 0.871 0.750
Na1 0.000 0.500 0.500
Na2 0.500 0.500 0.000
Ti1 0.000 0.000 0.500
Ti2 0.000 0.500 0.000
F1 0.038 0.288 0.750
F2 0.043 0.347 0.136
F3 0.043 0.908 0.696
F4 0.289 0.092 0.636
F5 0.289 0.653 0.196
F6 0.348 0.598 0.750
F7 0.652 0.402 0.250
F8 0.711 0.347 0.804
F9 0.711 0.908 0.364
F10 0.957 0.092 0.304
F11 0.957 0.653 0.864
F12 0.962 0.712 0.250

=====

VASP calculation (PBE-GGA) on a geometry-optimized Ca3Tm2TaN6 structure.

Values from the calculation:
The value obtained for the electronic total energy is -92.5 eV for the cell shown. The raw formation energy comes out at -126.5 kJ/mol of atoms.

Cell: 5.825 5.825 5.951 Å, 99.43 99.43 120.01°
Atoms (fractional coordinates):
Ca1 0.000 0.000 0.000
Ca2 0.335 0.665 0.000
Ca3 0.665 0.335 0.000
Tm1 0.167 0.833 0.500
Tm2 0.833 0.167 0.500
Ta1 0.500 0.500 0.500
N1 0.119 0.427 0.282
N2 0.264 0.264 0.716
N3 0.427 0.119 0.282
N4 0.573 0.881 0.718
N5 0.736 0.736 0.284
N6 0.881 0.573 0.718

=====

VASP calculation (PBE-GGA) on a geometry-optimized MnCN2 structure.

Values from the calculation:
The value obtained for the electronic total energy is -35.0 eV for the cell shown. The raw formation energy comes out at 0.9 kJ/mol of atoms.

Cell: 5.173 5.173 5.173 Å, 37.88 37.88 37.88°
Atoms (fractional coordinates):
Mn1 0.000 0.000 0.000
C1 0.500 0.500 0.500
N1 0.414 0.414 0.414
N2 0.586 0.586 0.586

=====

VASP calculation (PBE-GGA) on a geometry-optimized AcGdAgSn structure.

Values from the calculation:
The value obtained for the electronic total energy is -26.9 eV for the cell shown.

Cell: 5.517 5.517 5.517 Å, 60.00 60.00 60.00°
Atoms (fractional coordinates):
Ac1 0.000 0.000 0.000
Gd1 0.500 0.500 0.500
Ag1 0.250 0.250 0.250
Sn1 0.750 0.750 0.750

=====

VASP calculation (PBE-GGA) on a geometry-optimized EuGaPb2 structure.

Values from the calculation:
Its relative energy among the computed polymorphs is 399 meV per atom. The value obtained for the electronic total energy is -20.4 eV for the cell shown.

Cell: 11.327 11.327 11.327 Å, 18.44 18.44 18.44°
Atoms (fractional coordinates):
Eu1 0.000 0.000 0.000
Ga1 0.500 0.500 0.500
Pb1 0.099 0.099 0.099
Pb2 0.901 0.901 0.901